No. 1
A plane-wave DFT calculation with PBE was carried out for Ho3Er2Mg3 after structural relaxation.

Cell lengths 6.8290, 5.4895, 6.8330 Å; angles 90.00, 118.88, 90.00 degrees
With the nearest neighbours (Å) after each atom.
Atoms (fractional coordinates):
Er 0.6607 0.0000 0.3396  6 Mg 3.36-3.42, 6 Ho 3.37-3.47
Er 0.3422 0.5000 0.6621  6 Mg 3.35-3.46, 6 Ho 3.37-3.51
Ho 0.8378 0.5000 0.1568  6 Mg 3.34-3.46, 2 Ho 3.38, 4 Er 3.44-3.51
Ho 0.1659 0.0000 0.3353  4 Ho 3.36-3.48, 4 Er 3.37-3.46, 4 Mg 3.41-3.48
Ho 0.1597 0.0000 0.8408  2 Ho 3.36-3.48, 6 Mg 3.36-3.43, 4 Er 3.47
Mg 0.3373 0.5000 0.1640  4 Er 3.36-3.45, 6 Ho 3.36-3.44, 2 Mg 3.46-3.49
Mg 0.8355 0.5000 0.6620  4 Er 3.36-3.46, 4 Ho 3.36-3.46, 4 Mg 3.44-3.49
Mg 0.6610 0.0000 0.8394  6 Ho 3.34-3.48, 4 Er 3.35-3.42, 2 Mg 3.44

Summary:
The total magnetic moment is 0.005 μB per atom. As for the energy above the lowest structure with this stoichiometry: 0 meV/atom.


No. 2
A plane-wave DFT calculation with PBE was carried out for ZrSnNO after structural relaxation.

Cell lengths 4.1359, 4.1359, 7.8400 Å; angles 90.00, 90.00, 90.00 degrees
With the nearest neighbours (Å) after each atom.
Atoms (fractional coordinates):
N 0.7500 0.7500 0.4134  4 Zr 2.18
N 0.2500 0.2500 0.5866  4 Zr 2.18
O 0.7500 0.2500 0.0000  4 Sn 2.30
O 0.2500 0.7500 0.0000  4 Sn 2.30
Sn 0.2500 0.2500 0.1294  4 O 2.30
Sn 0.7500 0.7500 0.8706  4 O 2.30
Zr 0.7500 0.2500 0.5000  4 N 2.18
Zr 0.2500 0.7500 0.5000  4 N 2.18

Summary:
The total magnetic moment is 0.000 μB per atom. As for the energy above the lowest structure with this stoichiometry: 370 meV/atom.


No. 3
A plane-wave DFT calculation with PBE was carried out for YLu2Sb after structural relaxation.

Cell lengths 5.3290, 5.3290, 5.3290 Å; angles 60.00, 60.00, 60.00 degrees
With the nearest neighbours (Å) after each atom.
Atoms (fractional coordinates):
Lu 0.0000 0.0000 0.0000  4 Lu 3.26, 4 Y 3.26
Lu 0.7500 0.7500 0.7500  4 Lu 3.26, 4 Sb 3.26
Sb 0.5000 0.5000 0.5000  4 Lu 3.26, 4 Y 3.26
Y 0.2500 0.2500 0.2500  4 Sb 3.26, 4 Lu 3.26

Summary:
The calculation puts the total energy at -5.124 eV per atom. The total magnetic moment is 0.006 μB per atom.


No. 4
A plane-wave DFT calculation with PBE was carried out for NbZnMo after structural relaxation.

Cell lengths 4.3528, 4.3528, 4.3528 Å; angles 60.00, 60.00, 60.00 degrees
With the nearest neighbours (Å) after each atom.
Atoms (fractional coordinates):
Mo 0.0000 0.0000 0.0000  4 Zn 2.67, 4 Nb 2.67
Nb 0.2500 0.2500 0.2500  4 Mo 2.67
Zn 0.7500 0.7500 0.7500  4 Mo 2.67

Summary:
The total magnetic moment is 0.050 μB per atom. The formation energy from the elements is 2.7 eV/f.u. As for the energy above the lowest structure with this stoichiometry: 0 meV/atom.


No. 5
A plane-wave DFT calculation with PBE was carried out for ZnPdSeO after structural relaxation.

Cell lengths 3.6769, 3.6769, 9.4893 Å; angles 90.00, 90.00, 90.00 degrees
With the nearest neighbours (Å) after each atom.
Atoms (fractional coordinates):
O 0.7500 0.7500 0.0792  1 Zn 1.89, 1 Pd 2.03
O 0.2500 0.2500 0.9208  1 Zn 1.89, 1 Pd 2.03
Pd 0.7500 0.7500 0.2936  1 O 2.03
Pd 0.2500 0.2500 0.7064  1 O 2.03
Se 0.7500 0.2500 0.5000  4 Se 2.60, 4 Pd 2.69
Se 0.2500 0.7500 0.5000  4 Se 2.60, 4 Pd 2.69
Zn 0.2500 0.2500 0.1200  1 O 1.89
Zn 0.7500 0.7500 0.8800  1 O 1.89

Summary:
As for the energy above the lowest structure with this stoichiometry: 589 meV/atom.


No. 6
A plane-wave DFT calculation with PBE was carried out for CuReGePd after structural relaxation.

Cell lengths 4.3384, 4.3384, 4.3384 Å; angles 60.00, 60.00, 60.00 degrees
With the nearest neighbours (Å) after each atom.
Atoms (fractional coordinates):
Cu 0.7500 0.7500 0.7500  4 Pd 2.66, 4 Ge 2.66
Ge 0.0000 0.0000 0.0000  4 Cu 2.66, 4 Re 2.66
Pd 0.5000 0.5000 0.5000  4 Re 2.66, 4 Cu 2.66
Re 0.2500 0.2500 0.2500  4 Pd 2.66, 4 Ge 2.66

Summary:
The total magnetic moment is 0.103 μB per atom. As for the energy above the lowest structure with this stoichiometry: 0 meV/atom.


No. 7
A plane-wave DFT calculation with PBE was carried out for HgBNO after structural relaxation.

Cell lengths 5.0620, 6.9271, 4.6038 Å; angles 90.00, 90.00, 90.00 degrees
With the nearest neighbours (Å) after each atom.
Atoms (fractional coordinates):
B 0.8956 0.0727 0.4966  3 N 1.57-1.60, 1 O 1.59
B 0.3956 0.9273 0.4966  3 N 1.57-1.60, 1 O 1.59
B 0.6044 0.0727 0.9966  3 N 1.57-1.60, 1 O 1.59
B 0.1044 0.9273 0.9966  3 N 1.57-1.60, 1 O 1.59
Hg 0.0457 0.3428 0.0195  4 O 2.29-2.52, 1 N 2.32
Hg 0.5457 0.6572 0.0195  4 O 2.29-2.52, 1 N 2.32
Hg 0.4543 0.3428 0.5195  4 O 2.29-2.52, 1 N 2.32
Hg 0.9543 0.6572 0.5195  4 O 2.29-2.52, 1 N 2.32
N 0.8799 0.0434 0.1524  3 B 1.57-1.60
N 0.3799 0.9566 0.1524  3 B 1.57-1.60
N 0.6201 0.0434 0.6524  3 B 1.57-1.60
N 0.1201 0.9566 0.6524  3 B 1.57-1.60
O 0.5275 0.2935 0.0338  1 B 1.59
O 0.0275 0.7065 0.0338  1 B 1.59
O 0.9725 0.2935 0.5338  1 B 1.59
O 0.4725 0.7065 0.5338  1 B 1.59

Summary:
As for the energy above the lowest structure with this stoichiometry: 77 meV/atom.


No. 8
A plane-wave DFT calculation with PBE was carried out for CuReTcBi after structural relaxation.

Cell lengths 4.5605, 4.5605, 4.5605 Å; angles 60.00, 60.00, 60.00 degrees
With the nearest neighbours (Å) after each atom.
Atoms (fractional coordinates):
Bi 0.0000 0.0000 0.0000  4 Cu 2.79, 4 Re 2.79
Cu 0.2500 0.2500 0.2500  4 Tc 2.79, 4 Bi 2.79
Re 0.7500 0.7500 0.7500  4 Tc 2.79, 4 Bi 2.79
Tc 0.5000 0.5000 0.5000  4 Cu 2.79, 4 Re 2.79

Summary:
The total magnetic moment is 0.004 μB per atom. As for the energy above the lowest structure with this stoichiometry: 0 meV/atom.


No. 9
A plane-wave DFT calculation with PBE was carried out for YAlAg2O4 after structural relaxation.

Cell lengths 3.1806, 3.1806, 12.5614 Å; angles 90.00, 90.00, 120.00 degrees
With the nearest neighbours (Å) after each atom.
Atoms (fractional coordinates):
Ag 0.3333 0.6667 0.2627  2 O 2.08-2.10
Ag 0.6667 0.3333 0.7373  2 O 2.08-2.10
Al 0.0000 0.0000 0.5000  6 O 2.03
O 0.3333 0.6667 0.0970  1 Ag 2.08, 3 Y 2.20
O 0.3333 0.6667 0.4303  3 Al 2.03, 1 Ag 2.10
O 0.6667 0.3333 0.5697  3 Al 2.03, 1 Ag 2.10
O 0.6667 0.3333 0.9030  1 Ag 2.08, 3 Y 2.20
Y 0.0000 0.0000 0.0000  6 O 2.20

Summary:
The calculation puts the total energy at -6.374 eV per atom. The total magnetic moment is 0.000 μB per atom.


No. 10
A plane-wave DFT calculation with PBE was carried out for Ta4GaCuC2 after structural relaxation.

Cell lengths 3.1234, 3.1234, 13.4535 Å; angles 90.00, 90.00, 120.00 degrees
With the nearest neighbours (Å) after each atom.
Atoms (fractional coordinates):
C 0.3333 0.6667 0.2450  6 Ta 2.17-2.19
C 0.3333 0.6667 0.7550  6 Ta 2.17-2.19
Cu 0.0000 0.0000 0.0000  6 Ta 2.76
Ga 0.6667 0.3333 0.5000  6 Ta 2.84, 6 Ga 3.12
Ta 0.6667 0.3333 0.1552  3 C 2.17
Ta 0.0000 0.0000 0.3373  3 C 2.19
Ta 0.0000 0.0000 0.6627  3 C 2.19
Ta 0.6667 0.3333 0.8448  3 C 2.17

Summary:
The calculation puts the total energy at -9.472 eV per atom. The total magnetic moment is 0.000 μB per atom.


No. 11
A plane-wave DFT calculation with PBE was carried out for Tb2YAg4Sn4 after structural relaxation.

Cell lengths 8.7994, 8.7994, 8.7994 Å; angles 149.84, 130.58, 58.99 degrees
With the nearest neighbours (Å) after each atom.
Atoms (fractional coordinates):
Ag 0.6305 0.3288 0.3016  4 Sn 2.73-2.83, 1 Ag 2.92
Ag 0.9728 0.6712 0.3016  4 Sn 2.73-2.83, 1 Ag 2.92
Ag 0.0272 0.3288 0.6984  4 Sn 2.73-2.83, 1 Ag 2.92
Ag 0.3695 0.6712 0.6984  4 Sn 2.73-2.83, 1 Ag 2.92
Sn 0.2146 0.2146 0.0000  6 Ag 2.80-2.83
Sn 0.7854 0.7854 0.0000  6 Ag 2.80-2.83
Sn 0.6960 0.5000 0.1960  2 Ag 2.73, 1 Sn 2.88
Sn 0.3040 0.5000 0.8040  2 Ag 2.73, 1 Sn 2.88
Tb 0.6280 0.1280 0.5000  6 Ag 3.26-3.41, 6 Sn 3.32-3.34
Tb 0.3720 0.8720 0.5000  6 Ag 3.26-3.41, 6 Sn 3.32-3.34
Y 0.0000 0.0000 0.0000  6 Sn 3.20-3.29

Summary:
The calculation puts the total energy at -4.417 eV per atom. The total magnetic moment is 0.000 μB per atom.


No. 12
A plane-wave DFT calculation with PBE was carried out for SmZnPd after structural relaxation.

Cell lengths 7.2403, 7.2403, 4.0081 Å; angles 90.00, 90.00, 120.00 degrees
With the nearest neighbours (Å) after each atom.
Atoms (fractional coordinates):
Pd 0.2487 0.0000 0.0000  4 Zn 2.69-2.77
Pd 0.0000 0.2487 0.0000  4 Zn 2.69-2.77
Pd 0.7513 0.7513 0.0000  4 Zn 2.69-2.77
Sm 0.5916 0.0000 0.5000  5 Zn 2.96-2.97, 6 Pd 3.19-3.27
Sm 0.4084 0.4084 0.5000  5 Zn 2.96-2.97, 6 Pd 3.19-3.27
Sm 0.0000 0.5916 0.5000  5 Zn 2.96-2.97, 6 Pd 3.19-3.27
Zn 0.6667 0.3333 0.0000  3 Pd 2.77, 6 Sm 2.97
Zn 0.3333 0.6667 0.0000  3 Pd 2.77, 6 Sm 2.97
Zn 0.0000 0.0000 0.5000  6 Pd 2.69, 3 Sm 2.96

Summary:
The total magnetic moment is 0.001 μB per atom. The formation energy from the elements is -1.8 eV/f.u.